Entry 1:
Material: TaNiAgSnOsC
Method: DFT, PBE
State: optimized geometry

Values from the calculation:
**VASP energy**: -7.23 eV/atom
**ρ**: 11597 kg/m3
**Relative energy among the computed polymorphs**: 0.175 eV/atom
**SG**: Cm (8)

CIF file:
```
data_TaNiAgSnOsC
_cell_length_a 7.368
_cell_length_b 3.211
_cell_length_c 10.318
_cell_angle_alpha 90.00
_cell_angle_beta 128.36
_cell_angle_gamma 90.00
_space_group_name_H-M_alt 'P 1'
_space_group_IT_number 1
loop_
_space_group_symop_operation_xyz
'x,y,z'
loop_
_atom_site_label
_atom_site_fract_x
_atom_site_fract_y
_atom_site_fract_z
Os1 0.113 0.000 0.866
Os2 0.113 0.500 0.366
Ag1 0.784 0.500 0.861
Ag2 0.784 0.000 0.361
Ni1 0.082 0.500 0.631
Ni2 0.082 0.000 0.131
C1 0.240 0.500 0.249
C2 0.240 0.000 0.749
Sn1 0.637 0.500 0.525
Sn2 0.637 0.000 0.025
Ta1 0.361 0.000 0.613
Ta2 0.361 0.500 0.113
```

---

Entry 2:
Material: TaNiAgSnOsC
Method: DFT, PBE
State: optimized geometry

Values from the calculation:
**VASP energy**: -7.35 eV/atom
**ρ**: 11819 kg/m3
**Relative energy among the computed polymorphs**: 0.059 eV/atom
**SG**: P1 (1)

CIF file:
```
data_TaNiAgSnOsC
_cell_length_a 3.025
_cell_length_b 4.842
_cell_length_c 7.132
_cell_angle_alpha 71.67
_cell_angle_beta 89.05
_cell_angle_gamma 71.97
_space_group_name_H-M_alt 'P 1'
_space_group_IT_number 1
loop_
_space_group_symop_operation_xyz
'x,y,z'
loop_
_atom_site_label
_atom_site_fract_x
_atom_site_fract_y
_atom_site_fract_z
C1 0.058 0.752 0.846
Ni1 0.937 0.038 0.590
Os1 0.460 0.937 0.954
Sn1 0.828 0.214 0.206
Ag1 0.171 0.570 0.411
Ta1 0.703 0.471 0.776
```

---

Entry 3:
Material: TaNiAgSnOsC
Method: DFT, PBE
State: optimized geometry

Values from the calculation:
**VASP energy**: -7.41 eV/atom
**ρ**: 12326 kg/m3
**Relative energy among the computed polymorphs**: 0.000 eV/atom
**SG**: Cm (8)

CIF file:
```
data_TaNiAgSnOsC
_cell_length_a 7.329
_cell_length_b 2.994
_cell_length_c 8.645
_cell_angle_alpha 90.00
_cell_angle_beta 108.29
_cell_angle_gamma 90.00
_space_group_name_H-M_alt 'P 1'
_space_group_IT_number 1
loop_
_space_group_symop_operation_xyz
'x,y,z'
loop_
_atom_site_label
_atom_site_fract_x
_atom_site_fract_y
_atom_site_fract_z
C1 0.199 0.000 0.560
C2 0.199 0.500 0.060
Ag1 0.584 0.000 0.811
Ag2 0.584 0.500 0.311
Sn1 0.796 0.500 0.638
Sn2 0.796 0.000 0.138
Ta1 0.221 0.500 0.761
Ta2 0.221 0.000 0.261
Os1 0.024 0.000 0.921
Os2 0.024 0.500 0.421
Ni1 0.394 0.500 0.531
Ni2 0.394 0.000 0.031
```

---

Entry 4:
Material: TaNiAgSnOsC
Method: DFT, PBE
State: optimized geometry

Values from the calculation:
**VASP energy**: -7.20 eV/atom
**ρ**: 11922 kg/m3
**Relative energy among the computed polymorphs**: 0.206 eV/atom
**SG**: Cm (8)

CIF file:
```
data_TaNiAgSnOsC
_cell_length_a 7.018
_cell_length_b 3.125
_cell_length_c 9.057
_cell_angle_alpha 90.00
_cell_angle_beta 110.36
_cell_angle_gamma 90.00
_space_group_name_H-M_alt 'P 1'
_space_group_IT_number 1
loop_
_space_group_symop_operation_xyz
'x,y,z'
loop_
_atom_site_label
_atom_site_fract_x
_atom_site_fract_y
_atom_site_fract_z
C1 0.297 0.000 0.100
C2 0.297 0.500 0.600
Ta1 0.356 0.000 0.458
Ta2 0.356 0.500 0.958
Ni1 0.241 0.500 0.206
Ni2 0.241 0.000 0.706
Sn1 0.837 0.500 0.088
Sn2 0.837 0.000 0.588
Ag1 0.634 0.000 0.262
Ag2 0.634 0.500 0.762
Os1 0.020 0.500 0.416
Os2 0.020 0.000 0.916
```

---

Which of these has the lowest ρ?
number 1